# CoW2Cl PBE optimized geometry
# ΔE to the lowest computed polymorph in meV/atom: 577
data_CoW2Cl
_space_group_name_H-M_alt 'C 1 2/m 1'
_space_group_IT_number 12
_cell_length_a 5.416
_cell_length_b 8.257
_cell_length_c 2.783
_cell_angle_alpha 90.00
_cell_angle_beta 109.44
_cell_angle_gamma 90.00
loop_
_space_group_symop_operation_xyz
'x,y,z'
'-x,-y,-z'
'-x,y,-z'
'x,-y,z'
'x+1/2,y+1/2,z'
'-x+1/2,-y+1/2,-z'
'-x+1/2,y+1/2,-z'
'x+1/2,-y+1/2,z'
loop_
_atom_site_label
_atom_site_fract_x
_atom_site_fract_y
_atom_site_fract_z
Co1 0.000 0.000 0.000
W1 0.250 0.250 0.500
Cl1 0.000 0.500 0.000

***

Compound: CsKCl2
Source: Alexandria via LeMat-Bulk
Functional: PBE
Structure: optimized geometry

```
data_CsKCl2
_space_group_name_H-M_alt 'R 3 m'
_space_group_IT_number 160
_space_group_name_Hall 'R 3 -2"'
_cell_length_a 4.6479
_cell_length_b 4.6479
_cell_length_c 24.2347
_cell_angle_alpha 90.00
_cell_angle_beta 90.00
_cell_angle_gamma 120.00
loop_
_atom_site_label
_atom_site_fract_x
_atom_site_fract_y
_atom_site_fract_z
Cs1 0.0000 0.0000 0.0000
K1 0.0000 0.0000 0.8304
Cl1 0.0000 0.0000 0.2400
Cl2 0.0000 0.0000 0.4236
```

***

Here are the calculated theoretical density numbers, same order: 13.08; 2.67 (g/cm3).
Here are the calculated E_form (uncorrected) numbers, same order: 0.952; -1.931 (eV per atom).